# Pm6PtRh2Br3, optimized geometry, DFT PBE
data_Pm6PtRh2Br3
_symmetry_space_group_name_H-M 'C 1 2/m 1'
_symmetry_Int_Tables_number 12
_cell_length_a 7.160
_cell_length_b 12.399
_cell_length_c 8.115
_cell_angle_alpha 90.00
_cell_angle_beta 107.08
_cell_angle_gamma 90.00
loop_
_symmetry_equiv_pos_as_xyz
'x,y,z'
'-x,-y,-z'
'-x,y,-z'
'x,-y,z'
'x+1/2,y+1/2,z'
'-x+1/2,-y+1/2,-z'
'-x+1/2,y+1/2,-z'
'x+1/2,-y+1/2,z'
loop_
_atom_site_label
_atom_site_type_symbol
_atom_site_fract_x
_atom_site_fract_y
_atom_site_fract_z
Pm1 Pm 0.225 0.000 0.196
Pm2 Pm 0.235 0.330 0.196
Pt1 Pt 0.000 0.500 0.000
Rh1 Rh 0.000 0.167 0.000
Br1 Br 0.000 0.000 0.500
Br2 Br 0.000 0.332 0.500
# Calculated volume ... 28.69 Å³/atom
# ΔE_f (raw) ... -13.7 eV per formula unit
# Magnetic moment ... 0.00 μB/f.u.
# Electronic total energy ... -135.9 eV/cell